Here is crystalline Ce2Nd3ScSe6 at its relaxed geometry from Alexandria. Energies are from PBE.

Unit cell a=7.200 b=7.200 c=7.249 alpha=99.59 beta=99.59 gamma=120.07
Fractional positions:
1 Ce 0.165 0.835 0.000
2 Ce 0.835 0.165 0.000
3 Nd 0.000 0.000 0.500
4 Nd 0.329 0.671 0.500
5 Nd 0.671 0.329 0.500
6 Sc 0.500 0.500 0.000
7 Se 0.102 0.422 0.763
8 Se 0.262 0.262 0.243
9 Se 0.422 0.102 0.763
10 Se 0.578 0.898 0.237
11 Se 0.738 0.738 0.757
12 Se 0.898 0.578 0.237

Computed properties:
* E_form (uncorrected): -1.778 eV per atom

=====

Here is crystalline CeNd3Sc2Se6 at its relaxed geometry from Alexandria. Energies are from PBE.

Unit cell a=7.088 b=7.088 c=7.190 alpha=99.54 beta=99.54 gamma=120.16
Fractional positions:
1 Ce 0.000 0.000 0.000
2 Nd 0.160 0.840 0.500
3 Nd 0.500 0.500 0.500
4 Nd 0.840 0.160 0.500
5 Sc 0.332 0.668 0.000
6 Sc 0.668 0.332 0.000
7 Se 0.077 0.425 0.232
8 Se 0.274 0.274 0.776
9 Se 0.425 0.077 0.232
10 Se 0.575 0.923 0.768
11 Se 0.726 0.726 0.224
12 Se 0.923 0.575 0.768

Computed properties:
* E_form (uncorrected): -1.735 eV per atom

=====

no.,calculated total energy (eV per formula unit),magnetization (μB/atom)
1,-74.7,0.1538
2,-74.6,0.0685